This record from Alexandria describes crystalline Ta4TcIr at its relaxed geometry. The functional is PBEsol. Values from VASP.

Results
size of the total moment = 0.008 μB/cell
space group = F-43m, No. 216
final energy = -69.047 eV per cell

```
&SYSTEM
  ibrav = 0, nat = 6, ntyp = 3
/
ATOMIC_SPECIES
Ta 180.95 Ta.upf
Tc 98.00 Tc.upf
Ir 192.22 Ir.upf
CELL_PARAMETERS angstrom
0.0000 3.7023 3.7023
3.7023 0.0000 3.7023
3.7023 3.7023 0.0000
ATOMIC_POSITIONS crystal
Ta 0.1245 0.1245 0.1245
Ta 0.1245 0.1245 0.6266
Ta 0.1245 0.6266 0.1245
Ta 0.6266 0.1245 0.1245
Tc 0.7500 0.7500 0.7500
Ir 0.5000 0.5000 0.5000
```